Entry 1:
A plane-wave DFT calculation with GGA-PBE was carried out for a relaxed structure of Sc2IrRh.

Cell and atoms, written as CIF:
```
data_Sc2IrRh
_cell_length_a 8.245
_cell_length_b 3.120
_cell_length_c 5.582
_cell_angle_alpha 90.00
_cell_angle_beta 101.34
_cell_angle_gamma 90.00
_symmetry_space_group_name_H-M 'C 1 2/m 1'
_symmetry_Int_Tables_number 12
loop_
_symmetry_equiv_pos_as_xyz
'x,y,z'
'-x,-y,-z'
'-x,y,-z'
'x,-y,z'
'x+1/2,y+1/2,z'
'-x+1/2,-y+1/2,-z'
'-x+1/2,y+1/2,-z'
'x+1/2,-y+1/2,z'
loop_
_atom_site_label
_atom_site_fract_x
_atom_site_fract_y
_atom_site_fract_z
_atom_site_occupancy
Sc1 0.250 0.000 0.248 1
Ir1 0.000 0.500 0.000 1
Rh1 0.000 0.000 0.500 1
```

## Properties
As for the formation energy: -0.568 eV/atom. The value obtained for the relative energy among the computed polymorphs is 0.4724 eV per atom.

Entry 2:
A plane-wave DFT calculation with GGA-PBE was carried out for a relaxed structure of HfPCO2.

Cell and atoms, written as CIF:
```
data_HfPCO2
_cell_length_a 3.909
_cell_length_b 3.909
_cell_length_c 5.643
_cell_angle_alpha 90.00
_cell_angle_beta 90.00
_cell_angle_gamma 90.00
_symmetry_space_group_name_H-M 'P 4/m m m'
_symmetry_Int_Tables_number 123
_symmetry_space_group_name_Hall '-P 4 2'
loop_
_atom_site_label
_atom_site_fract_x
_atom_site_fract_y
_atom_site_fract_z
_atom_site_occupancy
Hf1 0.000 0.000 0.000 1
P1 0.000 0.000 0.500 1
C1 0.500 0.500 0.500 1
O1 0.000 0.500 0.000 1
```

## Properties
The value obtained for the uncorrected formation energy is -0.0276 eV per atom. The value obtained for the relative energy among the computed polymorphs is 0.0000 eV per atom.

Entry 3:
A plane-wave DFT calculation with GGA-PBE was carried out for a relaxed structure of Pm2Pr3Pb6.

Cell and atoms, written as CIF:
```
data_Pm2Pr3Pb6
_cell_length_a 6.036
_cell_length_b 6.036
_cell_length_c 22.653
_cell_angle_alpha 90.00
_cell_angle_beta 90.00
_cell_angle_gamma 90.00
_symmetry_space_group_name_H-M 'I 4/m m m'
_symmetry_Int_Tables_number 139
_symmetry_space_group_name_Hall '-I 4 2'
loop_
_atom_site_label
_atom_site_fract_x
_atom_site_fract_y
_atom_site_fract_z
_atom_site_occupancy
Pm1 0.000 0.000 0.075 1
Pr1 0.000 0.000 0.349 1
Pr2 0.000 0.000 0.500 1
Pb1 0.000 0.000 0.209 1
Pb2 0.000 0.500 0.076 1
```

## Properties
As for the formation energy: -0.129 eV/atom.

Entry 4:
A plane-wave DFT calculation with GGA-PBE was carried out for a relaxed structure of GaCuTc2Se.

Cell and atoms, written as CIF:
```
data_GaCuTc2Se
_cell_length_a 4.716
_cell_length_b 4.716
_cell_length_c 4.325
_cell_angle_alpha 90.00
_cell_angle_beta 90.00
_cell_angle_gamma 90.00
_symmetry_space_group_name_H-M 'P 4/m m m'
_symmetry_Int_Tables_number 123
_symmetry_space_group_name_Hall '-P 4 2'
loop_
_atom_site_label
_atom_site_fract_x
_atom_site_fract_y
_atom_site_fract_z
_atom_site_occupancy
Ga1 0.000 0.000 0.000 1
Cu1 0.000 0.000 0.500 1
Tc1 0.000 0.500 0.000 1
Se1 0.500 0.500 0.500 1
```

## Properties
The value obtained for the uncorrected formation energy is 1.2344 eV per atom.